Entry 1:
Material: BeCoCu3
Method: DFT, GGA-PBEsol
State: relaxed

Structure (CIF):
```
data_BeCoCu3
_cell_length_a 4.2674
_cell_length_b 4.2674
_cell_length_c 4.2674
_cell_angle_alpha 90.00
_cell_angle_beta 90.00
_cell_angle_gamma 90.00
_space_group_name_H-M_alt 'P m -3 m'
_space_group_IT_number 221
_space_group_name_Hall '-P 4 2 3'
loop_
_atom_site_label
_atom_site_fract_x
_atom_site_fract_y
_atom_site_fract_z
Be1 0.0000 0.0000 0.0000
Co1 0.5000 0.5000 0.5000
Cu1 0.0000 0.5000 0.5000
```

## Properties
- M_tot: 0.37 μB/atom
- Density: 5.53 g cm⁻³
- Uncorrected energy: -17.905 eV/cell
- Volume: 77.7 Å³ per cell
- Energy of formation from the pure elements: 1.3669 eV/atom

=====

Entry 2:
Material: ZnPOs3
Method: DFT, GGA-PBEsol
State: relaxed

Structure (CIF):
```
data_ZnPOs3
_cell_length_a 4.3061
_cell_length_b 4.3061
_cell_length_c 4.3061
_cell_angle_alpha 90.00
_cell_angle_beta 90.00
_cell_angle_gamma 90.00
_space_group_name_H-M_alt 'P m -3 m'
_space_group_IT_number 221
_space_group_name_Hall '-P 4 2 3'
loop_
_atom_site_label
_atom_site_fract_x
_atom_site_fract_y
_atom_site_fract_z
Zn1 0.0000 0.0000 0.0000
P1 0.5000 0.5000 0.5000
Os1 0.0000 0.5000 0.5000
```

## Properties
- M_tot: 0.03 μB/atom
- Energy relative to the lowest polymorph listed for this composition: 0 meV/atom
- Density: 13.87 g cm⁻³
- Uncorrected energy: -39.125 eV/cell
- Volume: 79.8 Å³ per cell
- Energy of formation from the pure elements: 0.9792 eV/atom

=====

Entry 3:
Material: NaTcNi2Ag
Method: DFT, GGA-PBEsol
State: relaxed

Structure (CIF):
```
data_NaTcNi2Ag
_cell_length_a 4.2795
_cell_length_b 4.2795
_cell_length_c 4.4353
_cell_angle_alpha 90.00
_cell_angle_beta 90.00
_cell_angle_gamma 90.00
_space_group_name_H-M_alt 'P 4/m m m'
_space_group_IT_number 123
_space_group_name_Hall '-P 4 2'
loop_
_atom_site_label
_atom_site_fract_x
_atom_site_fract_y
_atom_site_fract_z
Na1 0.0000 0.0000 0.0000
Tc1 0.5000 0.5000 0.5000
Ni1 0.0000 0.5000 0.0000
Ag1 0.0000 0.0000 0.5000
```

## Properties
- M_tot: 0.89 μB/atom
- Density: 7.08 g cm⁻³
- Uncorrected energy: -18.919 eV/cell
- Volume: 81.2 Å³ per cell
- Energy of formation from the pure elements: 1.8746 eV/atom

=====

Entry 4:
Material: DyAu6
Method: DFT, GGA-PBEsol
State: relaxed

Structure (CIF):
```
data_DyAu6
_cell_length_a 10.2764
_cell_length_b 10.2764
_cell_length_c 9.7102
_cell_angle_alpha 90.00
_cell_angle_beta 90.00
_cell_angle_gamma 90.00
_space_group_name_H-M_alt 'P 42/n c m'
_space_group_IT_number 138
loop_
_space_group_symop_operation_xyz
'x,y,z'
'-x,-y,-z'
'-y+1/2,x,z+1/2'
'y+1/2,-x,-z+1/2'
'-x+1/2,-y+1/2,z'
'x+1/2,y+1/2,-z'
'y,-x+1/2,z+1/2'
'-y,x+1/2,-z+1/2'
'x+1/2,-y,-z+1/2'
'-x+1/2,y,z+1/2'
'-y,-x,-z'
'y,x,z'
'-x,y+1/2,-z+1/2'
'x,-y+1/2,z+1/2'
'y+1/2,x+1/2,-z'
'-y+1/2,-x+1/2,z'
loop_
_atom_site_label
_atom_site_fract_x
_atom_site_fract_y
_atom_site_fract_z
Dy1 0.0738 0.0738 0.2120
Au1 0.0000 0.0000 0.5000
Au2 0.0135 0.6805 0.5785
Au3 0.1226 0.6988 0.8547
Au4 0.1484 0.1484 0.6788
Au5 0.2500 0.2500 0.4320
```

## Properties
- M_tot: 0.00 μB/atom
- Density: 17.41 g cm⁻³
- Uncorrected energy: -252.434 eV/cell
- Volume: 1025.4 Å³ per cell
- Energy of formation from the pure elements: -0.4331 eV/atom

=====

Entry 5:
Material: AgAs2Pt
Method: DFT, GGA-PBEsol
State: relaxed

Structure (CIF):
```
data_AgAs2Pt
_cell_length_a 3.6779
_cell_length_b 3.6779
_cell_length_c 19.0046
_cell_angle_alpha 90.00
_cell_angle_beta 90.00
_cell_angle_gamma 120.00
_space_group_name_H-M_alt 'R -3 m'
_space_group_IT_number 166
_space_group_name_Hall '-R 3 2"'
loop_
_atom_site_label
_atom_site_fract_x
_atom_site_fract_y
_atom_site_fract_z
Ag1 0.0000 0.0000 0.0000
As1 0.0000 0.0000 0.2387
Pt1 0.0000 0.0000 0.5000
```

## Properties
- M_tot: 0.00 μB/atom
- Energy relative to the lowest polymorph listed for this composition: 0 meV/atom
- Density: 10.13 g cm⁻³
- Uncorrected energy: -61.774 eV/cell
- Volume: 222.6 Å³ per cell
- Energy of formation from the pure elements: -0.0259 eV/atom

=====

Entry 6:
Material: BaAg3
Method: DFT, GGA-PBEsol
State: relaxed

Structure (CIF):
```
data_BaAg3
_cell_length_a 4.6932
_cell_length_b 7.1792
_cell_length_c 6.1275
_cell_angle_alpha 90.00
_cell_angle_beta 90.00
_cell_angle_gamma 90.00
_space_group_name_H-M_alt 'P m m n'
_space_group_IT_number 59
loop_
_space_group_symop_operation_xyz
'x,y,z'
'-x,-y,-z'
'-x+1/2,-y+1/2,z'
'x+1/2,y+1/2,-z'
'x+1/2,-y,-z'
'-x+1/2,y,z'
'-x,y+1/2,-z'
'x,-y+1/2,z'
loop_
_atom_site_label
_atom_site_fract_x
_atom_site_fract_y
_atom_site_fract_z
Ba1 0.2500 0.2500 0.1356
Ag1 0.2500 0.0500 0.6214
Ag2 0.2500 0.7500 0.3272
```

## Properties
- M_tot: 0.00 μB/atom
- Energy relative to the lowest polymorph listed for this composition: 20 meV/atom
- Density: 7.41 g cm⁻³
- Uncorrected energy: -25.283 eV/cell
- Volume: 206.5 Å³ per cell
- Energy of formation from the pure elements: -0.1398 eV/atom

=====

Entry 7:
Material: KYCd
Method: DFT, GGA-PBEsol
State: relaxed

Structure (CIF):
```
data_KYCd
_cell_length_a 5.6173
_cell_length_b 5.6173
_cell_length_c 3.2057
_cell_angle_alpha 90.00
_cell_angle_beta 90.00
_cell_angle_gamma 120.00
_space_group_name_H-M_alt 'P 3 m 1'
_space_group_IT_number 156
loop_
_space_group_symop_operation_xyz
'x,y,z'
'-y,x-y,z'
'-x+y,-x,z'
'-y,-x,z'
'-x+y,y,z'
'x,x-y,z'
loop_
_atom_site_label
_atom_site_fract_x
_atom_site_fract_y
_atom_site_fract_z
K1 0.0000 0.0000 0.0000
Y1 0.3333 0.6667 0.2523
Cd1 0.6667 0.3333 0.6571
```

## Properties
- M_tot: 0.00 μB/atom
- Energy relative to the lowest polymorph listed for this composition: 239 meV/atom
- Density: 4.56 g cm⁻³
- Uncorrected energy: -8.178 eV/cell
- Volume: 87.6 Å³ per cell
- Energy of formation from the pure elements: 0.3248 eV/atom

=====

Entry 8:
Material: Ba2GaPN
Method: DFT, GGA-PBEsol
State: relaxed

Structure (CIF):
```
data_Ba2GaPN
_cell_length_a 6.1774
_cell_length_b 6.1774
_cell_length_c 3.5697
_cell_angle_alpha 90.00
_cell_angle_beta 90.00
_cell_angle_gamma 90.00
_space_group_name_H-M_alt 'P 4/m m m'
_space_group_IT_number 123
_space_group_name_Hall '-P 4 2'
loop_
_atom_site_label
_atom_site_fract_x
_atom_site_fract_y
_atom_site_fract_z
Ba1 0.0000 0.5000 0.0000
Ga1 0.0000 0.0000 0.5000
P1 0.5000 0.5000 0.0000
N1 0.5000 0.5000 0.5000
```

## Properties
- Energy relative to the elements, uncorrected: 5 meV/atom
- M_tot: 0.00 μB/atom
- Density: 4.75 g cm⁻³
- Uncorrected energy: -21.929 eV/cell
- Volume: 136.2 Å³ per cell

=====

Entry 9:
Material: Pt2PbBr
Method: DFT, GGA-PBEsol
State: relaxed

Structure (CIF):
```
data_Pt2PbBr
_cell_length_a 4.4622
_cell_length_b 4.4622
_cell_length_c 7.6183
_cell_angle_alpha 90.00
_cell_angle_beta 90.00
_cell_angle_gamma 90.00
_space_group_name_H-M_alt 'I 4/m m m'
_space_group_IT_number 139
_space_group_name_Hall '-I 4 2'
loop_
_atom_site_label
_atom_site_fract_x
_atom_site_fract_y
_atom_site_fract_z
Pt1 0.0000 0.5000 0.2500
Pb1 0.0000 0.0000 0.0000
Br1 0.0000 0.0000 0.5000
```

## Properties
- Energy relative to the elements, uncorrected: 343 meV/atom
- M_tot: 0.00 μB/atom
- Energy relative to the lowest polymorph listed for this composition: 68 meV/atom
- Density: 14.83 g cm⁻³
- Uncorrected energy: -36.845 eV/cell
- Volume: 151.7 Å³ per cell

=====

Entry 10:
Material: KCaGaPt2
Method: DFT, GGA-PBEsol
State: relaxed

Structure (CIF):
```
data_KCaGaPt2
_cell_length_a 5.0786
_cell_length_b 5.0786
_cell_length_c 4.9441
_cell_angle_alpha 90.00
_cell_angle_beta 90.00
_cell_angle_gamma 90.00
_space_group_name_H-M_alt 'P 4/m m m'
_space_group_IT_number 123
_space_group_name_Hall '-P 4 2'
loop_
_atom_site_label
_atom_site_fract_x
_atom_site_fract_y
_atom_site_fract_z
K1 0.0000 0.0000 0.0000
Ca1 0.0000 0.0000 0.5000
Ga1 0.5000 0.5000 0.5000
Pt1 0.0000 0.5000 0.0000
```

## Properties
- M_tot: 0.00 μB/atom
- Density: 7.02 g cm⁻³
- Uncorrected energy: -14.079 eV/cell
- Volume: 127.5 Å³ per cell
- Energy of formation from the pure elements: 1.2909 eV/atom

=====

Entry 11:
Material: InMo2Rh
Method: DFT, GGA-PBEsol
State: relaxed

Structure (CIF):
```
data_InMo2Rh
_cell_length_a 2.7792
_cell_length_b 2.7792
_cell_length_c 8.1914
_cell_angle_alpha 90.00
_cell_angle_beta 90.00
_cell_angle_gamma 90.00
_space_group_name_H-M_alt 'P 4/m m m'
_space_group_IT_number 123
_space_group_name_Hall '-P 4 2'
loop_
_atom_site_label
_atom_site_fract_x
_atom_site_fract_y
_atom_site_fract_z
In1 0.0000 0.0000 0.0000
Mo1 0.5000 0.5000 0.2706
Rh1 0.0000 0.0000 0.5000
```

## Properties
- M_tot: 0.00 μB/atom
- Density: 10.75 g cm⁻³
- Uncorrected energy: -34.133 eV/cell
- Volume: 63.3 Å³ per cell
- Energy of formation from the pure elements: 0.1309 eV/atom

=====

Entry 12:
Material: NbTeRhI2
Method: DFT, GGA-PBEsol
State: relaxed

Structure (CIF):
```
data_NbTeRhI2
_cell_length_a 5.1820
_cell_length_b 5.1820
_cell_length_c 5.1658
_cell_angle_alpha 90.00
_cell_angle_beta 90.00
_cell_angle_gamma 90.00
_space_group_name_H-M_alt 'P 4/m m m'
_space_group_IT_number 123
_space_group_name_Hall '-P 4 2'
loop_
_atom_site_label
_atom_site_fract_x
_atom_site_fract_y
_atom_site_fract_z
Nb1 0.0000 0.0000 0.0000
Te1 0.5000 0.5000 0.0000
Rh1 0.5000 0.5000 0.5000
I1 0.0000 0.5000 0.5000
```

## Properties
- Energy relative to the elements, uncorrected: 799 meV/atom
- M_tot: 0.52 μB/atom
- Density: 6.91 g cm⁻³
- Uncorrected energy: -22.026 eV/cell
- Volume: 138.7 Å³ per cell